# 1
K3Ga4Ag2: optimized geometry, PBE-GGA. Values from VASP.

Structure (Quantum ESPRESSO input):
```
&SYSTEM
  ibrav = 0, nat = 9, ntyp = 3
/
ATOMIC_SPECIES
Ga 69.72 Ga.upf
K 39.10 K.upf
Ag 107.87 Ag.upf
ATOMIC_POSITIONS crystal
Ga 0.097 0.419 0.380
K 0.616 0.131 0.637
Ag 0.680 0.395 0.236
Ga 0.903 0.581 0.620
K 0.000 0.000 0.000
Ga 0.253 0.406 0.080
Ga 0.747 0.594 0.920
Ag 0.320 0.605 0.764
K 0.384 0.869 0.363
CELL_PARAMETERS angstrom
4.692 0.015 -0.005
2.365 6.305 -0.191
2.339 2.177 8.680
```

Calculated values
Formation energy from the elements: -0.07 eV/atom
SG: P-1 (2)
Total DFT energy (no corrections): -2.411 eV/atom

=====

# 2
K2GaAg: optimized geometry, PBE-GGA. Values from VASP.

Structure (Quantum ESPRESSO input):
```
&SYSTEM
  ibrav = 0, nat = 8, ntyp = 3
/
ATOMIC_SPECIES
Ag 107.87 Ag.upf
K 39.10 K.upf
Ga 69.72 Ga.upf
ATOMIC_POSITIONS crystal
Ag 0.250 0.761 0.761
K 0.750 0.027 0.675
K 0.750 0.675 0.027
Ga 0.500 0.500 0.500
K 0.250 0.325 0.973
Ga 0.000 0.500 0.500
K 0.250 0.973 0.325
Ag 0.750 0.239 0.239
CELL_PARAMETERS angstrom
6.243 0.000 0.000
0.000 6.666 0.446
0.000 -2.007 6.372
```

Calculated values
Formation energy from the elements: 0.01 eV/atom
SG: Cmcm (63)
Total DFT energy (no corrections): -2.012 eV/atom

=====

# 3
KGaAg3: optimized geometry, PBE-GGA. Values from VASP.

Structure (Quantum ESPRESSO input):
```
&SYSTEM
  ibrav = 0, nat = 20, ntyp = 3
/
ATOMIC_SPECIES
Ag 107.87 Ag.upf
Ga 69.72 Ga.upf
K 39.10 K.upf
ATOMIC_POSITIONS crystal
Ag 0.404 0.682 0.688
Ag 0.395 0.351 0.028
Ga 0.200 0.773 0.412
K 0.750 0.648 0.352
Ga 0.700 0.412 0.773
K 0.250 0.999 0.001
Ag 0.915 0.349 0.029
Ag 0.105 0.972 0.649
Ag 0.096 0.312 0.318
Ag 0.585 0.971 0.651
Ga 0.800 0.227 0.588
K 0.250 0.352 0.648
Ga 0.300 0.588 0.227
Ag 0.596 0.318 0.312
Ag 0.605 0.649 0.972
Ag 0.895 0.028 0.351
Ag 0.415 0.029 0.349
Ag 0.085 0.651 0.971
Ag 0.904 0.688 0.682
K 0.750 0.001 0.999
CELL_PARAMETERS angstrom
-0.471 -3.283 -5.483
-2.107 -7.980 3.173
-8.708 -1.527 -0.122
```

Calculated values
Formation energy from the elements: 0.02 eV/atom
SG: C2/c (15)
Total DFT energy (no corrections): -2.512 eV/atom

=====

# 4
K2Ga2Ag: optimized geometry, PBE-GGA. Values from VASP.

Structure (Quantum ESPRESSO input):
```
&SYSTEM
  ibrav = 0, nat = 10, ntyp = 3
/
ATOMIC_SPECIES
Ga 69.72 Ga.upf
K 39.10 K.upf
Ag 107.87 Ag.upf
ATOMIC_POSITIONS crystal
Ga 0.348 0.348 0.089
K 0.810 0.190 0.500
Ga 0.652 0.652 0.911
Ga 0.348 0.348 0.411
Ag 0.660 0.660 0.250
K 0.810 0.190 0.000
K 0.190 0.810 0.000
K 0.190 0.810 0.500
Ga 0.652 0.652 0.589
Ag 0.340 0.340 0.750
CELL_PARAMETERS angstrom
-5.454 -3.712 1.037
3.836 -0.911 5.391
-3.366 5.893 3.391
```

Calculated values
Formation energy from the elements: -0.05 eV/atom
SG: Cmcm (63)
Total DFT energy (no corrections): -2.269 eV/atom

=====

> Which value of total DFT energy (no corrections) does entry 4 give?

-2.269 eV/atom

=====

> Which value of formation energy from the elements does entry 1 give?

-0.07 eV/atom